Entry 1:
## Ti5NbC3 (PBE)

Data for a geometry-optimized Ti5NbC3 structure.

Calculated values
ΔE_f   -607.4 meV per atom

The structure in CIF format:
```
data_Ti5NbC3
_space_group_name_H-M_alt 'C 1 2/m 1'
_space_group_IT_number 12
_space_group_name_Hall '-C 2y'
_cell_length_a 9.566
_cell_length_b 7.121
_cell_length_c 7.856
_cell_angle_alpha 90.00
_cell_angle_beta 115.16
_cell_angle_gamma 90.00
loop_
_atom_site_label
_atom_site_fract_x
_atom_site_fract_y
_atom_site_fract_z
Ti1 0.000 0.201 0.000
Ti2 0.068 0.000 0.366
Ti3 0.168 0.298 0.670
Ti4 0.234 0.500 0.030
Nb1 0.100 0.500 0.302
C1 0.000 0.500 0.000
C2 0.000 0.500 0.500
C3 0.162 0.000 0.668
C4 0.166 0.000 0.166
```

Entry 2:
## La3ErSc2Se6 (PBE)

Data for a geometry-optimized La3ErSc2Se6 structure.

Calculated values
Formation energy from raw total energies   -21.662 eV/f.u.

The structure in CIF format:
```
data_La3ErSc2Se6
_space_group_name_H-M_alt 'C 1 2/m 1'
_space_group_IT_number 12
_space_group_name_Hall '-C 2y'
_cell_length_a 7.031
_cell_length_b 12.215
_cell_length_c 7.301
_cell_angle_alpha 90.00
_cell_angle_beta 108.82
_cell_angle_gamma 90.00
loop_
_atom_site_label
_atom_site_fract_x
_atom_site_fract_y
_atom_site_fract_z
La1 0.000 0.000 0.000
La2 0.000 0.336 0.000
Er1 0.000 0.500 0.500
Sc1 0.000 0.167 0.500
Se1 0.232 0.000 0.718
Se2 0.244 0.330 0.721
```

Entry 3:
## SbW2Au (PBE)

Data for a geometry-optimized SbW2Au structure.

Calculated values
Formation energy from raw total energies   7.236 eV/f.u.

The structure in CIF format:
```
data_SbW2Au
_space_group_name_H-M_alt 'I -4 2 d'
_space_group_IT_number 122
_space_group_name_Hall 'I -4 2bw'
_cell_length_a 6.112
_cell_length_b 6.112
_cell_length_c 11.435
_cell_angle_alpha 90.00
_cell_angle_beta 90.00
_cell_angle_gamma 90.00
loop_
_atom_site_label
_atom_site_fract_x
_atom_site_fract_y
_atom_site_fract_z
Sb1 0.000 0.000 0.000
W1 0.224 0.250 0.625
Au1 0.000 0.000 0.500
```

Entry 4:
## NiPdI2 (PBE)

Data for a geometry-optimized NiPdI2 structure.

Calculated values
Formation energy from raw total energies   2.361 eV/f.u.
Offset from the most stable computed form   0.5182 eV per atom

The structure in CIF format:
```
data_NiPdI2
_space_group_name_H-M_alt 'F m -3 m'
_space_group_IT_number 225
_space_group_name_Hall '-F 4 2 3'
_cell_length_a 7.075
_cell_length_b 7.075
_cell_length_c 7.075
_cell_angle_alpha 90.00
_cell_angle_beta 90.00
_cell_angle_gamma 90.00
loop_
_atom_site_label
_atom_site_fract_x
_atom_site_fract_y
_atom_site_fract_z
Ni1 0.000 0.000 0.000
Pd1 0.000 0.000 0.500
I1 0.250 0.250 0.250
```

Entry 5:
## PmScAg (PBE)

Data for a geometry-optimized PmScAg structure.

Calculated values
ΔE_f   -153.8 meV per atom
Offset from the most stable computed form   0.0000 eV per atom

The structure in CIF format:
```
data_PmScAg
_space_group_name_H-M_alt 'P -6 2 m'
_space_group_IT_number 189
_space_group_name_Hall 'P -6 -2'
_cell_length_a 7.3978
_cell_length_b 7.3978
_cell_length_c 4.9198
_cell_angle_alpha 90.00
_cell_angle_beta 90.00
_cell_angle_gamma 120.00
loop_
_atom_site_label
_atom_site_fract_x
_atom_site_fract_y
_atom_site_fract_z
Pm1 0.0000 0.5911 0.0000
Sc1 0.0000 0.2531 0.5000
Ag1 0.0000 0.0000 0.0000
Ag2 0.3333 0.6667 0.5000
```

Entry 6:
## AcNpPb2O8 (PBE)

Data for a geometry-optimized AcNpPb2O8 structure.

Calculated values
Formation energy from raw total energies   -24.397 eV/f.u.

The structure in CIF format:
```
data_AcNpPb2O8
_space_group_name_H-M_alt 'P 1 2/m 1'
_space_group_IT_number 10
_space_group_name_Hall '-P 2y'
_cell_length_a 5.270
_cell_length_b 7.329
_cell_length_c 5.273
_cell_angle_alpha 90.00
_cell_angle_beta 90.34
_cell_angle_gamma 90.00
loop_
_atom_site_label
_atom_site_fract_x
_atom_site_fract_y
_atom_site_fract_z
Ac1 0.000 0.000 0.000
Np1 0.000 0.500 0.000
Pb1 0.500 0.253 0.500
O1 0.179 0.293 0.180
O2 0.284 0.500 0.718
O3 0.325 0.000 0.678
```

Entry 7:
## RbLa3Mo (PBE)

Data for a geometry-optimized RbLa3Mo structure.

Calculated values
ΔE_f   1731.1 meV per atom
Offset from the most stable computed form   1.3228 eV per atom

The structure in CIF format:
```
data_RbLa3Mo
_space_group_name_H-M_alt 'P m -3 m'
_space_group_IT_number 221
_space_group_name_Hall '-P 4 2 3'
_cell_length_a 5.643
_cell_length_b 5.643
_cell_length_c 5.643
_cell_angle_alpha 90.00
_cell_angle_beta 90.00
_cell_angle_gamma 90.00
loop_
_atom_site_label
_atom_site_fract_x
_atom_site_fract_y
_atom_site_fract_z
Rb1 0.000 0.000 0.000
La1 0.000 0.000 0.500
Mo1 0.500 0.500 0.500
```

Entry 8:
## NiGe2Rh3 (PBE)

Data for a geometry-optimized NiGe2Rh3 structure.

Calculated values
ΔE_f   -355.0 meV per atom

The structure in CIF format:
```
data_NiGe2Rh3
_space_group_name_H-M_alt 'I b a m'
_space_group_IT_number 72
_space_group_name_Hall '-I 2 2c'
_cell_length_a 5.213
_cell_length_b 12.457
_cell_length_c 5.281
_cell_angle_alpha 90.00
_cell_angle_beta 90.00
_cell_angle_gamma 90.00
loop_
_atom_site_label
_atom_site_fract_x
_atom_site_fract_y
_atom_site_fract_z
Ni1 0.000 0.000 0.250
Ge1 0.236 0.131 0.000
Rh1 0.000 0.500 0.250
Rh2 0.250 0.176 0.500
```

Entry 9:
## CrIn2Si (PBE)

Data for a geometry-optimized CrIn2Si structure.

Calculated values
Formation energy from raw total energies   1.365 eV/f.u.
Offset from the most stable computed form   0.1185 eV per atom

The structure in CIF format:
```
data_CrIn2Si
_space_group_name_H-M_alt 'R 3 m'
_space_group_IT_number 160
_space_group_name_Hall 'R 3 -2"'
_cell_length_a 3.1788
_cell_length_b 3.1788
_cell_length_c 26.2369
_cell_angle_alpha 90.00
_cell_angle_beta 90.00
_cell_angle_gamma 120.00
loop_
_atom_site_label
_atom_site_fract_x
_atom_site_fract_y
_atom_site_fract_z
Cr1 0.0000 0.0000 0.0000
In1 0.0000 0.0000 0.2526
In2 0.0000 0.0000 0.4812
Si1 0.0000 0.0000 0.7229
```

Entry 10:
## TmMg10Zn3 (PBE)

Data for a geometry-optimized TmMg10Zn3 structure.

Calculated values
ΔE_f   32.1 meV per atom

The structure in CIF format:
```
data_TmMg10Zn3
_space_group_name_H-M_alt 'F m -3 m'
_space_group_IT_number 225
_space_group_name_Hall '-F 4 2 3'
_cell_length_a 13.732
_cell_length_b 13.732
_cell_length_c 13.732
_cell_angle_alpha 90.00
_cell_angle_beta 90.00
_cell_angle_gamma 90.00
loop_
_atom_site_label
_atom_site_fract_x
_atom_site_fract_y
_atom_site_fract_z
Tm1 0.250 0.250 0.250
Mg1 0.000 0.172 0.172
Mg2 0.115 0.115 0.385
Zn1 0.000 0.000 0.269
```

Number 1: magnetic moment 0.000 μB/f.u.. Number 2: magnetic moment 0.000 μB/f.u.. Number 3: magnetic moment 0.559 μB/f.u.. Number 4: magnetic moment 1.465 μB/f.u.. Number 5: magnetic moment 0.000 μB/f.u.. Number 6: magnetic moment 0.283 μB/f.u.. Number 7: magnetic moment 3.734 μB/f.u.. Number 8: magnetic moment 0.000 μB/f.u.. Number 9: magnetic moment 0.485 μB/f.u.. Number 10: magnetic moment 0.000 μB/f.u..